Crystalline TiMn4B2 at its relaxed geometry. Source: Alexandria, functional PBE.

Polymorph energy (0 for the lowest one) ... 0 meV per atom
Space group ... Cmmm (65)

Geometry as POSCAR:
```
TiMn4B2
1.0
1.761 -6.442 0.000
1.761 6.442 0.000
0.000 0.000 3.132
Ti Mn B
1 4 2
direct
0.000 0.000 0.000
0.171 0.829 0.500
0.322 0.678 0.000
0.678 0.322 0.000
0.829 0.171 0.500
0.433 0.567 0.500
0.567 0.433 0.500
```

Crystalline Ti3MnB at its relaxed geometry. Source: Alexandria, functional PBE.

Polymorph energy (0 for the lowest one) ... 809 meV per atom
Space group ... Pm-3m (221)

Geometry as POSCAR:
```
Ti3MnB
1.0
4.369 0.000 0.000
0.000 4.369 0.000
0.000 0.000 4.369
Ti Mn B
3 1 1
direct
0.000 0.000 0.500
0.000 0.500 0.000
0.500 0.000 0.000
0.000 0.000 0.000
0.500 0.500 0.500
```

Crystalline TiMn4B2 at its relaxed geometry. Source: Alexandria, functional PBE.

Polymorph energy (0 for the lowest one) ... 1231 meV per atom
Space group ... I4/mmm (139)

Geometry as POSCAR:
```
TiMn4B2
1.0
-2.137 2.137 5.301
2.137 -2.137 5.301
2.137 2.137 -5.301
Ti Mn B
1 4 2
direct
0.000 0.000 0.000
0.000 0.500 0.500
0.240 0.240 0.000
0.500 0.000 0.500
0.760 0.760 0.000
0.425 0.425 0.000
0.575 0.575 0.000
```

Crystalline Ti2MnB at its relaxed geometry. Source: Alexandria, functional PBE.

Space group ... I-42d (122)
Raw total energy ... -7.680 eV/atom

Geometry as POSCAR:
```
Ti2MnB
1.0
-3.431 3.431 2.251
3.431 -3.431 2.251
3.431 3.431 -2.251
Ti Mn B
4 2 2
direct
0.068 0.625 0.943
0.375 0.318 0.443
0.682 0.125 0.057
0.875 0.932 0.557
0.250 0.750 0.500
0.500 0.500 0.000
0.000 0.000 0.000
0.750 0.250 0.500
```

Crystalline Ti2MnB at its relaxed geometry. Source: Alexandria, functional PBE.

Space group ... P4/mmm (123)
Raw total energy ... -8.147 eV/atom

Geometry as POSCAR:
```
Ti2MnB
1.0
3.978 0.000 0.000
0.000 3.978 0.000
0.000 0.000 3.026
Ti Mn B
2 1 1
direct
0.000 0.500 0.000
0.500 0.000 0.000
0.000 0.000 0.500
0.500 0.500 0.500
```

Crystalline Ti2MnB at its relaxed geometry. Source: Alexandria, functional PBE.

Space group ... R-3m (166)
Raw total energy ... -7.684 eV/atom

Geometry as POSCAR:
```
Ti2MnB
1.0
1.463 0.845 7.192
-1.463 0.845 7.192
0.000 -1.689 7.192
Ti Mn B
2 1 1
direct
0.100 0.100 0.100
0.900 0.900 0.900
0.000 0.000 0.000
0.500 0.500 0.500
```

Crystalline TiMnB3 at its relaxed geometry. Source: Alexandria, functional PBE.

Space group ... Pm-3m (221)
Raw total energy ... -7.107 eV/atom

Geometry as POSCAR:
```
TiMnB3
1.0
3.711 0.000 0.000
0.000 3.711 0.000
0.000 0.000 3.711
Ti Mn B
1 1 3
direct
0.000 0.000 0.000
0.500 0.500 0.500
0.000 0.500 0.500
0.500 0.000 0.500
0.500 0.500 0.000
```

Crystalline MnTlB2 at its relaxed geometry. Source: Alexandria, functional PBE.

Polymorph energy (0 for the lowest one) ... 881 meV per atom
Space group ... Fm-3m (225)

Geometry as POSCAR:
```
MnTlB2
1.0
0.000 2.926 2.926
2.926 0.000 2.926
2.926 2.926 0.000
Mn Tl B
1 1 2
direct
0.000 0.000 0.000
0.500 0.500 0.500
0.250 0.250 0.250
0.750 0.750 0.750
```

Crystalline Mn2TlB at its relaxed geometry. Source: Alexandria, functional PBE.

Polymorph energy (0 for the lowest one) ... 48 meV per atom
Space group ... Fm-3m (225)

Geometry as POSCAR:
```
Mn2TlB
1.0
0.000 3.063 3.063
3.063 0.000 3.063
3.063 3.063 0.000
Mn Tl B
2 1 1
direct
0.250 0.250 0.250
0.750 0.750 0.750
0.000 0.000 0.000
0.500 0.500 0.500
```

Crystalline Mn2TlB at its relaxed geometry. Source: Alexandria, functional PBE.

Polymorph energy (0 for the lowest one) ... 0 meV per atom
Space group ... I-42d (122)

Geometry as POSCAR:
```
Mn2TlB
1.0
-1.963 1.963 7.627
1.963 -1.963 7.627
1.963 1.963 -7.627
Mn Tl B
4 2 2
direct
0.375 0.235 0.360
0.765 0.125 0.140
0.875 0.015 0.640
0.985 0.625 0.860
0.250 0.750 0.500
0.500 0.500 0.000
0.000 0.000 0.000
0.750 0.250 0.500
```

Crystalline MnTlB2 at its relaxed geometry. Source: Alexandria, functional PBE.

Polymorph energy (0 for the lowest one) ... 0 meV per atom
Space group ... I4_1/amd (141)

Geometry as POSCAR:
```
MnTlB2
1.0
-1.929 1.929 7.043
1.929 -1.929 7.043
1.929 1.929 -7.043
Mn Tl B
2 2 4
direct
0.375 0.625 0.750
0.625 0.375 0.250
0.125 0.875 0.250
0.875 0.125 0.750
0.000 0.500 0.500
0.500 0.000 0.000
0.500 0.500 0.000
0.500 0.500 0.500
```

Crystalline Y2MnTlB at its relaxed geometry. Source: Alexandria, functional PBE.

Space group ... P4/mmm (123)
Raw total energy ... -6.415 eV/atom

Geometry as POSCAR:
```
Y2MnTlB
1.0
5.123 0.000 0.000
0.000 5.123 0.000
0.000 0.000 4.064
Y Mn Tl B
2 1 1 1
direct
0.000 0.500 0.000
0.500 0.000 0.000
0.000 0.000 0.500
0.500 0.500 0.500
0.000 0.000 0.000
```

Crystalline TmMnB4 at its relaxed geometry. Source: Alexandria, functional PBE.

Polymorph energy (0 for the lowest one) ... 1133 meV per atom
Space group ... F-43m (216)

Geometry as POSCAR:
```
TmMnB4
1.0
0.000 3.060 3.060
3.060 0.000 3.060
3.060 3.060 0.000
Tm Mn B
1 1 4
direct
0.000 0.000 0.000
0.250 0.250 0.250
0.068 0.644 0.644
0.644 0.068 0.644
0.644 0.644 0.068
0.644 0.644 0.644
```

Crystalline TmMn2B2 at its relaxed geometry. Source: Alexandria, functional PBE.

Space group ... P4/mmm (123)
Raw total energy ... -7.577 eV/atom

Geometry as POSCAR:
```
TmMn2B2
1.0
3.453 0.000 0.000
0.000 3.453 0.000
0.000 0.000 4.725
Tm Mn B
1 2 2
direct
0.000 0.000 0.000
0.000 0.500 0.500
0.500 0.000 0.500
0.500 0.500 0.195
0.500 0.500 0.805
```

Crystalline TmMn4B2 at its relaxed geometry. Source: Alexandria, functional PBE.

Space group ... Cmmm (65)
Raw total energy ... -8.014 eV/atom

Geometry as POSCAR:
```
TmMn4B2
1.0
1.863 -6.002 0.000
1.863 6.002 0.000
0.000 0.000 3.705
Tm Mn B
1 4 2
direct
0.000 0.000 0.000
0.191 0.809 0.500
0.306 0.694 0.000
0.694 0.306 0.000
0.809 0.191 0.500
0.388 0.612 0.500
0.612 0.388 0.500
```

Crystalline TmMn8B2 at its relaxed geometry. Source: Alexandria, functional PBE.

Space group ... Cmmm (65)
Raw total energy ... -8.197 eV/atom

Geometry as POSCAR:
```
TmMn8B2
1.0
3.002 -5.103 0.000
3.002 5.103 0.000
0.000 0.000 4.362
Tm Mn B
1 8 2
direct
0.000 0.000 0.000
0.043 0.323 0.500
0.281 0.719 0.000
0.323 0.043 0.500
0.500 0.500 0.238
0.500 0.500 0.762
0.677 0.957 0.500
0.719 0.281 0.000
0.957 0.677 0.500
0.315 0.685 0.500
0.685 0.315 0.500
```

Crystalline TmMnB2 at its relaxed geometry. Source: Alexandria, functional PBE.

Space group ... R-3m (166)
Raw total energy ... -6.955 eV/atom

Geometry as POSCAR:
```
TmMnB2
1.0
1.739 1.004 4.592
-1.739 1.004 4.592
0.000 -2.008 4.592
Tm Mn B
1 1 2
direct
0.000 0.000 0.000
0.500 0.500 0.500
0.200 0.200 0.200
0.800 0.800 0.800
```

Crystalline Tm2Mn17B2 at its relaxed geometry. Source: Alexandria, functional PBE.

Space group ... C2/m (12)
Raw total energy ... -8.537 eV/atom

Geometry as POSCAR:
```
Tm2Mn17B2
1.0
4.798 -4.266 0.000
4.798 4.266 0.000
-0.937 0.000 6.367
Tm Mn B
2 17 2
direct
0.143 0.143 0.346
0.857 0.857 0.654
0.000 0.500 0.000
0.150 0.150 0.867
0.166 0.643 0.336
0.223 0.777 0.000
0.224 0.495 0.728
0.357 0.834 0.664
0.394 0.394 0.102
0.495 0.224 0.728
0.500 0.000 0.000
0.500 0.500 0.500
0.505 0.776 0.272
0.606 0.606 0.898
0.643 0.166 0.336
0.776 0.505 0.272
0.777 0.223 0.000
0.834 0.357 0.664
0.850 0.850 0.133
0.000 0.500 0.500
0.500 0.000 0.500
```

Crystalline TmMn9B4 at its relaxed geometry. Source: Alexandria, functional PBE.

Space group ... I4/mcm (140)
Raw total energy ... -8.225 eV/atom

Geometry as POSCAR:
```
TmMn9B4
1.0
-3.636 3.636 5.624
3.636 -3.636 5.624
3.636 3.636 -5.624
Tm Mn B
2 18 8
direct
0.250 0.250 0.000
0.750 0.750 0.000
0.000 0.500 0.500
0.049 0.549 0.235
0.082 0.813 0.895
0.186 0.951 0.500
0.187 0.082 0.269
0.313 0.582 0.895
0.314 0.814 0.765
0.418 0.313 0.731
0.451 0.686 0.500
0.500 0.000 0.500
0.549 0.314 0.500
0.582 0.687 0.269
0.686 0.186 0.235
0.687 0.418 0.105
0.813 0.918 0.731
0.814 0.049 0.500
0.918 0.187 0.105
0.951 0.451 0.765
0.037 0.207 0.500
0.207 0.707 0.170
0.293 0.463 0.500
0.463 0.963 0.170
0.537 0.037 0.830
0.707 0.537 0.500
0.793 0.293 0.830
0.963 0.793 0.500
```

Crystalline Tm3Mn2B9 at its relaxed geometry. Source: Alexandria, functional PBE.

Space group ... Immm (71)
Raw total energy ... -6.874 eV/atom

Geometry as POSCAR:
```
Tm3Mn2B9
1.0
-1.562 3.658 6.584
1.562 -3.658 6.584
1.562 3.658 -6.584
Tm Mn B
3 2 9
direct
0.000 0.000 0.000
0.268 0.268 0.000
0.732 0.732 0.000
0.327 0.500 0.827
0.673 0.500 0.173
0.047 0.370 0.677
0.151 0.879 0.271
0.308 0.630 0.677
0.392 0.121 0.271
0.500 0.000 0.500
0.608 0.879 0.729
0.692 0.370 0.323
0.849 0.121 0.729
0.953 0.630 0.323
```

Crystalline TmMnB14 at its relaxed geometry. Source: Alexandria, functional PBE.

Space group ... Imma (74)
Raw total energy ... -6.863 eV/atom

Geometry as POSCAR:
```
TmMnB14
1.0
-2.928 5.326 4.103
2.928 -5.326 4.103
2.928 5.326 -4.103
Tm Mn B
2 2 28
direct
0.378 0.128 0.250
0.622 0.872 0.750
0.000 0.000 0.500
0.000 0.500 0.000
0.003 0.872 0.131
0.032 0.205 0.330
0.032 0.701 0.826
0.086 0.671 0.415
0.199 0.532 0.667
0.225 0.502 0.403
0.225 0.822 0.722
0.241 0.872 0.369
0.244 0.329 0.915
0.365 0.532 0.833
0.375 0.205 0.674
0.375 0.701 0.170
0.401 0.178 0.903
0.401 0.498 0.222
0.599 0.502 0.778
0.599 0.822 0.097
0.625 0.299 0.830
0.625 0.795 0.326
0.635 0.468 0.167
0.756 0.671 0.085
0.759 0.128 0.631
0.775 0.178 0.278
0.775 0.498 0.597
0.801 0.468 0.333
0.914 0.329 0.585
0.968 0.299 0.174
0.968 0.795 0.670
0.997 0.128 0.869
```

Crystalline Tm2MnB10 at its relaxed geometry. Source: Alexandria, functional PBE.

Space group ... Pbam (55)
Raw total energy ... -6.959 eV/atom

Geometry as POSCAR:
```
Tm2MnB10
1.0
5.586 0.000 0.000
0.000 11.120 0.000
0.000 0.000 4.130
Tm Mn B
4 2 20
direct
0.219 0.131 0.000
0.281 0.631 0.000
0.719 0.369 0.000
0.781 0.869 0.000
0.000 0.500 0.500
0.500 0.000 0.500
0.037 0.313 0.500
0.128 0.962 0.500
0.150 0.802 0.500
0.209 0.385 0.201
0.209 0.385 0.799
0.291 0.885 0.201
0.291 0.885 0.799
0.350 0.302 0.500
0.372 0.462 0.500
0.463 0.813 0.500
0.537 0.187 0.500
0.628 0.538 0.500
0.650 0.698 0.500
0.709 0.115 0.201
0.709 0.115 0.799
0.791 0.615 0.201
0.791 0.615 0.799
0.850 0.198 0.500
0.872 0.038 0.500
0.963 0.687 0.500
```

So what do the calculations give for density of states at the Fermi level? Going down the list: 4.73, 7.84, 4.46, 2.75, 1.03, 1.83, 2.07, 2.65, 6.21, 10.68, 3.87, 3.92, 2.31, 3.83, 5.35, 10.00, 3.24, 21.28, 18.64, 7.11, 6.49, 7.95 states/eV/cell.